i.
Compound: Tb2ThMg
Source: the Alexandria database
Functional: PBE
Structure: relaxed

a = 5.541 Å, b = 5.541 Å, c = 5.541 Å
α = 60.00°, β = 60.00°, γ = 60.00°
Sites, in units of the cell vectors:
Tb: 0.250 0.250 0.250
Tb: 0.750 0.750 0.750
Th: 0.000 0.000 0.000
Mg: 0.500 0.500 0.500

- mass density (g cm⁻³) = 7.9
- volume (Å³/cell) = 120.3
- D(E_F) (states/eV/atom) = 1.8641
- space group = Fm-3m


ii.
Compound: Tb2ThMg
Source: the Alexandria database
Functional: PBE
Structure: relaxed

a = 12.323 Å, b = 12.323 Å, c = 12.323 Å
α = 16.32°, β = 16.32°, γ = 16.32°
Sites, in units of the cell vectors:
Tb: 0.090 0.090 0.090
Tb: 0.910 0.910 0.910
Th: 0.500 0.500 0.500
Mg: 0.000 0.000 0.000

- mass density (g cm⁻³) = 7.4
- volume (Å³/cell) = 128.8
- D(E_F) (states/eV/atom) = 1.2468
- space group = R-3m


Relative calculated energies, zero for the most stable structure, unit eV/atom: i 0.000; ii 0.027.